No. 1
This record from Alexandria via LeMat-Bulk describes TbHo4Er6 after structural relaxation. The functional is PBE-GGA.

Output
The value obtained for the polymorph energy (0 for the lowest one) is 330 meV per atom. As for the volume: 367 Å³/f.u. As for the space group: I-42m (121). Its crystal system is tetragonal.

Unit cell a=8.4052 b=8.4052 c=8.4052 alpha=127.01 beta=127.01 gamma=78.23
With the nearest neighbours (Å) after each atom.
Fractional positions:
Tb  0.0000  0.0000  0.0000  8 Er 3.51-3.75, 4 Ho 3.69
Ho  0.2563  0.2563  0.6684  3 Er 2.98-3.19, 2 Ho 3.21
Ho  0.4121  0.7437  0.0000  3 Er 2.98-3.19, 2 Ho 3.21
Ho  0.5879  0.5879  0.3316  3 Er 2.98-3.19, 2 Ho 3.21
Ho  0.7437  0.4121  0.0000  3 Er 2.98-3.19, 2 Ho 3.21
Er  0.0000  0.5000  0.5000  4 Ho 2.98
Er  0.0547  0.5751  0.0000  3 Ho 3.19-3.56, 1 Tb 3.51
Er  0.4249  0.4249  0.4796  3 Ho 3.19-3.56, 1 Tb 3.51
Er  0.5000  0.0000  0.5000  4 Ho 2.98
Er  0.5751  0.0547  0.0000  3 Ho 3.19-3.56, 1 Tb 3.51
Er  0.9453  0.9453  0.5204  3 Ho 3.19-3.56, 1 Tb 3.51

***

No. 2
This record from Alexandria via LeMat-Bulk describes TbIn2Hg6 after structural relaxation. The functional is PBE-GGA.

Output
As for the volume: 228 Å³/f.u. For the electronic total energy, the calculation gives -1.462 eV per atom. As for the space group: C2/m (12). Its crystal system is monoclinic.

Unit cell a=8.4477 b=8.4477 c=4.8150 alpha=98.12 beta=98.12 gamma=134.45
With the nearest neighbours (Å) after each atom.
Fractional positions:
Tb  0.0000  0.0000  0.0000  8 Hg 3.17-3.21, 4 In 3.50
In  0.1635  0.8365  0.5000  8 Hg 3.08-3.29
In  0.8365  0.1635  0.5000  8 Hg 3.08-3.29
Hg  0.1619  0.4874  0.1697  3 In 3.08-3.15, 4 Hg 3.14-3.27, 1 Tb 3.21
Hg  0.3426  0.3426  0.6738  4 Hg 3.06-3.25, 2 Tb 3.17-3.20, 2 In 3.29
Hg  0.4874  0.1619  0.1697  3 In 3.08-3.15, 4 Hg 3.14-3.27, 1 Tb 3.21
Hg  0.5126  0.8381  0.8303  3 In 3.08-3.15, 4 Hg 3.14-3.27, 1 Tb 3.21
Hg  0.6574  0.6574  0.3262  4 Hg 3.06-3.25, 2 Tb 3.17-3.20, 2 In 3.29
Hg  0.8381  0.5126  0.8303  3 In 3.08-3.15, 4 Hg 3.14-3.27, 1 Tb 3.21

***

No. 3
This record from Alexandria via LeMat-Bulk describes SrYAg2 after structural relaxation. The functional is PBE-GGA.

Output
The value obtained for the polymorph energy (0 for the lowest one) is 0 meV per atom. As for the volume: 109 Å³/f.u. As for the space group: P4/mmm (123). Its crystal system is tetragonal.

Unit cell a=3.7715 b=3.7715 c=7.6417 alpha=90.00 beta=90.00 gamma=90.00
With the nearest neighbours (Å) after each atom.
Fractional positions:
Sr  0.0000  0.0000  0.0000  8 Ag 3.46, 4 Sr 3.77, 2 Y 3.82
Y  0.0000  0.0000  0.5000  8 Ag 3.12
Ag  0.5000  0.5000  0.2892  4 Y 3.12, 1 Ag 3.22, 4 Sr 3.46
Ag  0.5000  0.5000  0.7108  4 Y 3.12, 1 Ag 3.22, 4 Sr 3.46